Record 1
# GGA-PBE TaTlSCl2, relaxed
data_TaTlSCl2
_cell_length_a 6.056
_cell_length_b 6.056
_cell_length_c 4.512
_cell_angle_alpha 90.00
_cell_angle_beta 90.00
_cell_angle_gamma 90.00
_symmetry_space_group_name_H-M 'P 4/m m m'
_symmetry_Int_Tables_number 123
_symmetry_space_group_name_Hall '-P 4 2'
loop_
_atom_site_label
_atom_site_fract_x
_atom_site_fract_y
_atom_site_fract_z
Ta1 0.000 0.000 0.000
Tl1 0.500 0.500 0.000
S1 0.000 0.000 0.500
Cl1 0.000 0.500 0.500
# N(E_F) in states/eV/f.u.: 2.646
# ΔE to the lowest computed polymorph in kJ per mole of atoms: 91.6
# Uncorrected formation energy in eV per atom: 0.283

=====

Record 2
# GGA-PBE AgClF, relaxed
data_AgClF
_cell_length_a 3.7180
_cell_length_b 3.7180
_cell_length_c 5.1296
_cell_angle_alpha 90.00
_cell_angle_beta 90.00
_cell_angle_gamma 120.00
_symmetry_space_group_name_H-M 'P 3 m 1'
_symmetry_Int_Tables_number 156
loop_
_symmetry_equiv_pos_as_xyz
'x,y,z'
'-y,x-y,z'
'-x+y,-x,z'
'-y,-x,z'
'-x+y,y,z'
'x,x-y,z'
loop_
_atom_site_label
_atom_site_fract_x
_atom_site_fract_y
_atom_site_fract_z
Ag1 0.0000 0.0000 0.0000
Cl1 0.6667 0.3333 0.2777
F1 0.3333 0.6667 0.8253
# N(E_F) in states/eV/f.u.: 2.018
# ΔE to the lowest computed polymorph in kJ per mole of atoms: 11.2
# Uncorrected formation energy in eV per atom: -0.640